Material: PrPt2O4
Method: DFT, PBE
State: optimized geometry

Properties
- Space group: No. 88
- E_tot: -6.782 eV/atom
- Crystal system: tetragonal

```
PrPt2O4
1.0
-4.156 -4.993 -1.395
-5.819 3.151 -0.601
5.703 1.465 -3.079
O Pr Pt
8 2 4
Direct
0.852 0.501 0.953 O
0.251 0.799 0.150 O
0.898 0.749 0.547 O
0.101 0.148 0.650 O
0.549 0.899 0.047 O
0.201 0.351 0.453 O
0.649 0.102 0.850 O
0.499 0.451 0.350 O
0.500 0.500 0.000 Pr
0.250 0.750 0.500 Pr
0.875 0.625 0.750 Pt
0.875 0.125 0.250 Pt
0.375 0.125 0.250 Pt
0.875 0.125 0.750 Pt
```

Material: PrPtO3
Method: DFT, PBE
State: optimized geometry

Properties
- Space group: No. 62
- E_tot: -6.939 eV/atom
- Crystal system: orthorhombic

```
PrPtO3
1.0
5.597 0.000 0.000
0.000 6.114 0.000
0.000 0.000 7.629
O Pr Pt
12 4 4
Direct
0.128 0.453 0.250 O
0.316 0.694 0.948 O
0.184 0.194 0.948 O
0.184 0.194 0.552 O
0.816 0.806 0.448 O
0.872 0.547 0.750 O
0.628 0.047 0.750 O
0.684 0.306 0.448 O
0.684 0.306 0.052 O
0.372 0.953 0.250 O
0.316 0.694 0.552 O
0.816 0.806 0.052 O
0.971 0.081 0.250 Pr
0.471 0.419 0.750 Pr
0.529 0.581 0.250 Pr
0.029 0.919 0.750 Pr
0.000 0.500 0.500 Pt
0.500 0.000 0.500 Pt
0.500 0.000 0.000 Pt
0.000 0.500 0.000 Pt
```

Material: Pr2Pt2O5
Method: DFT, PBE
State: optimized geometry

Properties
- Space group: No. 123
- E_tot: -6.807 eV/atom
- Crystal system: tetragonal

```
Pr2Pt2O5
1.0
-3.026 -6.386 0.062
3.695 -1.753 -0.262
0.252 -0.080 4.090
O Pt Pr
5 2 2
Direct
0.238 0.500 0.000 O
0.762 0.000 0.500 O
0.238 0.000 0.500 O
0.500 0.500 0.500 O
0.762 0.500 0.000 O
0.807 0.500 0.500 Pt
0.193 0.500 0.500 Pt
0.000 0.000 0.000 Pr
0.500 0.000 0.000 Pr
```

Material: PrPt2O4
Method: DFT, PBE
State: optimized geometry

Properties
- Space group: No. 227
- E_tot: -6.155 eV/atom
- Crystal system: cubic

```
PrPt2O4
1.0
4.682 -4.680 0.000
-4.682 0.000 -4.680
4.682 4.680 0.000
O Pt Pr
8 4 2
Direct
0.144 0.287 0.856 O
0.144 0.713 0.856 O
0.181 0.787 0.394 O
0.606 0.787 0.394 O
0.606 0.213 0.819 O
0.144 0.287 0.431 O
0.606 0.213 0.394 O
0.569 0.713 0.856 O
0.375 0.250 0.625 Pt
0.875 0.250 0.625 Pt
0.375 0.750 0.125 Pt
0.375 0.750 0.625 Pt
0.000 0.000 0.000 Pr
0.750 0.500 0.250 Pr
```

> Which value of E_tot does entry 1 give?

-6.782 eV/atom